(1)
Entry from the Alexandria database: a relaxed ZrZnRu2 crystal (PBE-GGA).

Density, g cm⁻³: 9.5
Energy of formation from the pure elements, eV per atom: -0.2913
Size of the total moment, Bohr magnetons per cell: 0.4
Fermi-level density of states, states/eV/cell: 5.206
SG: P4/mmm (123)
V, Å³ per atom: 15.68

Cell lengths 4.3380, 4.3380, 3.3327 Å; angles 90.00, 90.00, 90.00 degrees
Closest atoms and distances in Å follow each position.
Atoms (fractional coordinates):
Ru 0.0000 0.0000 0.0000  4 Zr 2.74, 4 Zn 2.74
Ru 0.5000 0.5000 0.0000  4 Zr 2.74, 4 Zn 2.74
Zn 0.5000 0.0000 0.5000  8 Ru 2.74
Zr 0.0000 0.5000 0.5000  8 Ru 2.74

(2)
Entry from the Alexandria database: a relaxed CaRe2Pb crystal (PBE-GGA).

Density, g cm⁻³: 12.2
Energy of formation from the pure elements, eV per atom: 0.7664
Size of the total moment, Bohr magnetons per cell: 0.0
Fermi-level density of states, states/eV/cell: 2.939
SG: P2/m (10)
V, Å³ per atom: 21.04

Cell lengths 4.9742, 2.9598, 5.7633 Å; angles 82.63, 90.00, 90.00 degrees
Closest atoms and distances in Å follow each position.
Atoms (fractional coordinates):
Pb 0.5000 0.7500 0.7500  2 Pb 2.96, 4 Re 3.05, 2 Ca 3.07
Re 0.0000 0.8408 0.0469  1 Re 2.33
Re 0.0000 0.6592 0.4531  1 Re 2.33
Ca 0.5000 0.2500 0.2500  2 Ca 2.96, 8 Re 3.06-3.18, 2 Pb 3.07